(1)
# AlMoAs2 PBEsol relaxed
# Crystal system: trigonal
# Formation energy in eV/atom: 0.047
data_AlMoAs2
_chemical_formula_sum 'Al3 Mo3 As6'
_space_group_name_H-M_alt 'R 3 m'
_space_group_IT_number 160
_space_group_name_Hall 'R 3 -2"'
_cell_length_a 2.9201
_cell_length_b 2.9201
_cell_length_c 28.2165
_cell_angle_alpha 90.00
_cell_angle_beta 90.00
_cell_angle_gamma 120.00
loop_
_atom_site_label
_atom_site_type_symbol
_atom_site_fract_x
_atom_site_fract_y
_atom_site_fract_z
Al1 Al 0.0000 0.0000 0.0000
Mo1 Mo 0.0000 0.0000 0.7415
As1 As 0.0000 0.0000 0.2548
As2 As 0.0000 0.0000 0.4788

---

(2)
# Ta13Cr3 PBEsol relaxed
# Crystal system: orthorhombic
# Formation energy in eV/atom: 0.061
data_Ta13Cr3
_chemical_formula_sum 'Ta26 Cr6'
_space_group_name_H-M_alt 'A m m 2'
_space_group_IT_number 38
_cell_length_a 6.408
_cell_length_b 8.969
_cell_length_c 9.185
_cell_angle_alpha 90.00
_cell_angle_beta 90.00
_cell_angle_gamma 90.00
loop_
_space_group_symop_operation_xyz
'x,y,z'
'-x,-y,z'
'-x,y,z'
'x,-y,z'
'x,y+1/2,z+1/2'
'-x,-y+1/2,z+1/2'
'-x,y+1/2,z+1/2'
'x,-y+1/2,z+1/2'
loop_
_atom_site_label
_atom_site_type_symbol
_atom_site_fract_x
_atom_site_fract_y
_atom_site_fract_z
Ta1 Ta 0.000 0.000 0.000
Ta2 Ta 0.000 0.000 0.486
Ta3 Ta 0.000 0.237 0.242
Ta4 Ta 0.255 0.000 0.745
Ta5 Ta 0.256 0.242 0.991
Ta6 Ta 0.500 0.000 0.484
Ta7 Ta 0.500 0.235 0.239
Cr1 Cr 0.253 0.000 0.240
Cr2 Cr 0.500 0.000 0.993

---

(3)
# KTaW2 PBEsol relaxed
# Crystal system: tetragonal
# Formation energy in eV/atom: 0.968
data_KTaW2
_chemical_formula_sum 'K1 Ta1 W2'
_space_group_name_H-M_alt 'P 4 m m'
_space_group_IT_number 99
_cell_length_a 3.093
_cell_length_b 3.093
_cell_length_c 9.470
_cell_angle_alpha 90.00
_cell_angle_beta 90.00
_cell_angle_gamma 90.00
loop_
_space_group_symop_operation_xyz
'x,y,z'
'-y,x,z'
'-x,-y,z'
'y,-x,z'
'-x,y,z'
'y,x,z'
'x,-y,z'
'-y,-x,z'
loop_
_atom_site_label
_atom_site_type_symbol
_atom_site_fract_x
_atom_site_fract_y
_atom_site_fract_z
K1 K 0.000 0.000 0.000
Ta1 Ta 0.500 0.500 0.349
W1 W 0.000 0.000 0.523
W2 W 0.500 0.500 0.678

---

(4)
# CrAgW2 PBEsol relaxed
# Crystal system: cubic
# Formation energy in eV/atom: 0.658
# Excess energy over the best structure of this formula in the dataset in kJ/mol of formula units: 52
data_CrAgW2
_chemical_formula_sum 'Cr4 Ag4 W8'
_space_group_name_H-M_alt 'F -4 3 m'
_space_group_IT_number 216
_space_group_name_Hall 'F -4 2 3'
_cell_length_a 6.227
_cell_length_b 6.227
_cell_length_c 6.227
_cell_angle_alpha 90.00
_cell_angle_beta 90.00
_cell_angle_gamma 90.00
loop_
_atom_site_label
_atom_site_type_symbol
_atom_site_fract_x
_atom_site_fract_y
_atom_site_fract_z
Cr1 Cr 0.000 0.000 0.000
Ag1 Ag 0.250 0.250 0.750
W1 W 0.000 0.000 0.500
W2 W 0.250 0.250 0.250

---

(5)
# Cs2MnAsRh PBEsol relaxed
# Crystal system: tetragonal
# Formation energy in eV/atom: 1.074
data_Cs2MnAsRh
_chemical_formula_sum 'Cs2 Mn1 As1 Rh1'
_space_group_name_H-M_alt 'P 4/m m m'
_space_group_IT_number 123
_space_group_name_Hall '-P 4 2'
_cell_length_a 6.612
_cell_length_b 6.612
_cell_length_c 4.501
_cell_angle_alpha 90.00
_cell_angle_beta 90.00
_cell_angle_gamma 90.00
loop_
_atom_site_label
_atom_site_type_symbol
_atom_site_fract_x
_atom_site_fract_y
_atom_site_fract_z
Cs1 Cs 0.000 0.500 0.000
Mn1 Mn 0.000 0.000 0.000
As1 As 0.000 0.000 0.500
Rh1 Rh 0.500 0.500 0.500

---

(6)
# Co2AgAs PBEsol relaxed
# Crystal system: orthorhombic
# Formation energy in eV/atom: 0.258
data_Co2AgAs
_chemical_formula_sum 'Co4 Ag2 As2'
_space_group_name_H-M_alt 'A m m 2'
_space_group_IT_number 38
_cell_length_a 4.000
_cell_length_b 2.757
_cell_length_c 9.824
_cell_angle_alpha 90.00
_cell_angle_beta 90.00
_cell_angle_gamma 90.00
loop_
_space_group_symop_operation_xyz
'x,y,z'
'-x,-y,z'
'-x,y,z'
'x,-y,z'
'x,y+1/2,z+1/2'
'-x,-y+1/2,z+1/2'
'-x,y+1/2,z+1/2'
'x,-y+1/2,z+1/2'
loop_
_atom_site_label
_atom_site_type_symbol
_atom_site_fract_x
_atom_site_fract_y
_atom_site_fract_z
Co1 Co 0.000 0.000 0.000
Co2 Co 0.500 0.000 0.405
Ag1 Ag 0.500 0.000 0.656
As1 As 0.000 0.000 0.295

---

(7)
# Sr2YCdFe PBEsol relaxed
# Crystal system: tetragonal
# Formation energy in eV/atom: 0.325
data_Sr2YCdFe
_chemical_formula_sum 'Sr2 Y1 Cd1 Fe1'
_space_group_name_H-M_alt 'P 4/m m m'
_space_group_IT_number 123
_space_group_name_Hall '-P 4 2'
_cell_length_a 5.632
_cell_length_b 5.632
_cell_length_c 5.022
_cell_angle_alpha 90.00
_cell_angle_beta 90.00
_cell_angle_gamma 90.00
loop_
_atom_site_label
_atom_site_type_symbol
_atom_site_fract_x
_atom_site_fract_y
_atom_site_fract_z
Sr1 Sr 0.000 0.500 0.000
Y1 Y 0.000 0.000 0.500
Cd1 Cd 0.500 0.500 0.500
Fe1 Fe 0.000 0.000 0.000

---

(8)
# Mg10TiSnB4O20 PBEsol relaxed
# Crystal system: triclinic
# Formation energy from raw total energies in eV per atom: -2.666
data_Mg10TiSnB4O20
_chemical_formula_sum 'Mg20 Ti2 Sn2 B8 O40'
_space_group_name_H-M_alt 'P -1'
_space_group_IT_number 2
_cell_length_a 6.076
_cell_length_b 9.803
_cell_length_c 12.734
_cell_angle_alpha 85.95
_cell_angle_beta 76.21
_cell_angle_gamma 71.95
loop_
_space_group_symop_operation_xyz
'x,y,z'
'-x,-y,-z'
loop_
_atom_site_label
_atom_site_type_symbol
_atom_site_fract_x
_atom_site_fract_y
_atom_site_fract_z
Mg1 Mg 0.058 0.263 0.120
Mg2 Mg 0.103 0.004 0.781
Mg3 Mg 0.106 0.500 0.283
Mg4 Mg 0.241 0.500 0.000
Mg5 Mg 0.245 0.012 0.997
Mg6 Mg 0.251 0.000 0.500
Mg7 Mg 0.252 0.494 0.501
Mg8 Mg 0.323 0.238 0.618
Mg9 Mg 0.388 0.996 0.219
Mg10 Mg 0.390 0.500 0.717
Ti1 Ti 0.176 0.761 0.386
Sn1 Sn 0.438 0.740 0.884
B1 B 0.044 0.772 0.640
B2 B 0.182 0.279 0.857
B3 B 0.315 0.730 0.140
B4 B 0.457 0.223 0.363
O1 O 0.007 0.382 0.575
O2 O 0.043 0.149 0.266
O3 O 0.056 0.846 0.541
O4 O 0.097 0.350 0.956
O5 O 0.102 0.887 0.922
O6 O 0.105 0.110 0.643
O7 O 0.117 0.624 0.642
O8 O 0.192 0.355 0.761
O9 O 0.232 0.399 0.144
O10 O 0.242 0.877 0.139
O11 O 0.259 0.130 0.853
O12 O 0.275 0.601 0.856
O13 O 0.302 0.657 0.239
O14 O 0.358 0.890 0.357
O15 O 0.385 0.371 0.358
O16 O 0.403 0.648 0.045
O17 O 0.411 0.113 0.078
O18 O 0.448 0.146 0.458
O19 O 0.455 0.856 0.734
O20 O 0.464 0.618 0.425